1.
Compound: Ce2Sn3BiPd4
Source: Alexandria
Functional: PBE
Structure: optimized geometry

Cell: 4.646 4.646 10.830 Å, 90.00 90.00 90.00°
Space group P-4m2 (No. 115)
Inequivalent atoms, fractional coordinates:
Ce1 0.000 0.500 0.233 x2
Sn1 0.000 0.500 0.876 x2
Sn2 0.500 0.500 0.500 x1
Bi1 0.000 0.000 0.500 x1
Pd1 0.000 0.000 0.000 x1
Pd2 0.000 0.500 0.638 x2
Pd3 0.500 0.500 0.000 x1

Summary:
Density of states at the Fermi level = 1.743 states/eV per atom
M_tot = 1.935 μB/f.u.


2.
Compound: Ce3PmBi4
Source: Alexandria
Functional: PBE
Structure: optimized geometry

Cell: 6.500 6.500 6.500 Å, 90.00 90.00 90.00°
Space group Pm-3m (No. 221)
Inequivalent atoms, fractional coordinates:
Ce1 0.000 0.000 0.500 x3
Pm1 0.500 0.500 0.500 x1
Bi1 0.000 0.000 0.000 x1
Bi2 0.000 0.500 0.500 x3

Summary:
Density of states at the Fermi level = 2.811 states/eV per atom
M_tot = 2.790 μB/f.u.
Relative energy among the computed polymorphs = 2 meV/atom


3.
Compound: Ce3PmBi4
Source: Alexandria
Functional: PBE
Structure: optimized geometry

Cell: 9.186 12.993 4.599 Å, 90.00 90.00 90.00°
Space group Cmmm (No. 65)
Inequivalent atoms, fractional coordinates:
Ce1 0.000 0.000 0.000 x2
Ce2 0.250 0.250 0.500 x4
Pm1 0.000 0.500 0.000 x2
Bi1 0.000 0.250 0.000 x4
Bi2 0.250 0.000 0.500 x4

Summary:
Density of states at the Fermi level = 2.658 states/eV per atom
M_tot = 2.642 μB/f.u.
Relative energy among the computed polymorphs = 0 meV/atom


4.
Compound: Ce5Pm3Bi8
Source: Alexandria
Functional: PBE
Structure: optimized geometry

Cell: 9.1833 9.1833 22.5075 Å, 90.00 90.00 120.00°
Space group R-3m (No. 166, hexagonal axes)
Inequivalent atoms, fractional coordinates:
Ce1 0.0000 0.0000 0.0000 x3
Ce2 0.0000 0.0000 0.5000 x3
Ce3 0.0000 0.5000 0.0000 x9
Pm1 0.0000 0.5000 0.5000 x9
Bi1 0.0000 0.0000 0.2502 x6
Bi2 0.0000 0.5000 0.2500 x18

Summary:
Density of states at the Fermi level = 2.193 states/eV per atom
M_tot = 4.305 μB/f.u.


5.
Compound: Ce3Pm4Bi8
Source: Alexandria
Functional: PBE
Structure: optimized geometry

Cell: 12.856 12.881 9.048 Å, 90.00 134.57 90.00°
Space group C2/m (No. 12)
Inequivalent atoms, fractional coordinates:
Ce1 0.000 0.000 0.000 x2
Ce2 0.250 0.250 0.500 x4
Pm1 0.000 0.500 0.000 x2
Pm2 0.000 0.500 0.500 x2
Pm3 0.250 0.250 0.000 x4
Bi1 0.000 0.244 0.500 x4
Bi2 0.000 0.249 0.000 x4
Bi3 0.242 0.000 0.496 x4
Bi4 0.242 0.000 0.988 x4

Summary:
Density of states at the Fermi level = 1.246 states/eV per atom
M_tot = 1.168 μB/f.u.


6.
Compound: CePm4Bi2
Source: Alexandria
Functional: PBE
Structure: optimized geometry

Cell: 8.179 6.638 9.159 Å, 90.00 114.60 90.00°
Space group P2_1/m (No. 11)
Inequivalent atoms, fractional coordinates:
Ce1 0.115 0.250 0.357 x2
Pm1 0.181 0.750 0.088 x2
Pm2 0.325 0.005 0.785 x4
Pm3 0.482 0.750 0.523 x2
Bi1 0.065 0.750 0.391 x2
Bi2 0.273 0.250 0.084 x2

Summary:
Density of states at the Fermi level = 1.576 states/eV per atom
M_tot = 0.845 μB/f.u.


7.
Compound: CePm6Bi5
Source: Alexandria
Functional: PBE
Structure: optimized geometry

Cell: 9.059 12.621 7.354 Å, 90.00 105.39 90.00°
Space group C2/m (No. 12)
Inequivalent atoms, fractional coordinates:
Ce1 0.000 0.000 0.000 x2
Pm1 0.199 0.500 0.215 x4
Pm2 0.211 0.321 0.725 x8
Bi1 0.000 0.135 0.500 x4
Bi2 0.000 0.296 0.000 x4
Bi3 0.000 0.500 0.500 x2

Summary:
Density of states at the Fermi level = 1.106 states/eV per atom
M_tot = 3.115 μB/f.u.


8.
Compound: Ce2PmBi
Source: Alexandria
Functional: PBE
Structure: optimized geometry

Cell: 4.546 4.422 11.913 Å, 90.00 100.33 90.00°
Space group P2_1/m (No. 11)
Inequivalent atoms, fractional coordinates:
Ce1 0.005 0.250 0.386 x2
Ce2 0.400 0.750 0.390 x2
Pm1 0.302 0.250 0.111 x2
Bi1 0.176 0.250 0.831 x2

Summary:
Density of states at the Fermi level = 1.916 states/eV per atom
M_tot = 0.002 μB/f.u.
Relative energy among the computed polymorphs = 0 meV/atom


9.
Compound: Ce2Pm2Bi3
Source: Alexandria
Functional: PBE
Structure: optimized geometry

Cell: 14.852 4.509 7.738 Å, 90.00 98.83 90.00°
Space group C2/m (No. 12)
Inequivalent atoms, fractional coordinates:
Ce1 0.116 0.000 0.387 x4
Pm1 0.125 0.500 0.869 x4
Bi1 0.000 0.000 0.000 x2
Bi2 0.242 0.500 0.253 x4

Summary:
Density of states at the Fermi level = 2.553 states/eV per atom
M_tot = 2.285 μB/f.u.


10.
Compound: Ce3Pm5Bi8
Source: Alexandria
Functional: PBE
Structure: optimized geometry

Cell: 9.1700 9.1700 22.4744 Å, 90.00 90.00 120.00°
Space group R-3m (No. 166, hexagonal axes)
Inequivalent atoms, fractional coordinates:
Ce1 0.0000 0.5000 0.0000 x9
Pm1 0.0000 0.0000 0.0000 x3
Pm2 0.0000 0.0000 0.5000 x3
Pm3 0.0000 0.5000 0.5000 x9
Bi1 0.0000 0.0000 0.2500 x6
Bi2 0.0004 0.5002 0.2502 x18

Summary:
Density of states at the Fermi level = 1.418 states/eV per atom
M_tot = 2.475 μB/f.u.


11.
Compound: Ce2PmBi
Source: Alexandria
Functional: PBE
Structure: optimized geometry

Cell: 4.298 4.298 6.837 Å, 90.00 90.00 90.00°
Space group P4/mmm (No. 123)
Inequivalent atoms, fractional coordinates:
Ce1 0.000 0.000 0.198 x2
Pm1 0.500 0.500 0.500 x1
Bi1 0.500 0.500 0.000 x1

Summary:
Density of states at the Fermi level = 2.410 states/eV per atom
M_tot = 1.334 μB/f.u.
Relative energy among the computed polymorphs = 121 meV/atom


12.
Compound: Ce5PmBi4
Source: Alexandria
Functional: PBE
Structure: optimized geometry

Cell: 17.072 4.742 8.349 Å, 90.00 109.58 90.00°
Space group C2/m (No. 12)
Inequivalent atoms, fractional coordinates:
Ce1 0.000 0.000 0.000 x2
Ce2 0.128 0.500 0.955 x4
Ce3 0.213 0.000 0.352 x4
Pm1 0.000 0.000 0.500 x2
Bi1 0.071 0.500 0.306 x4
Bi2 0.186 0.000 0.759 x4

Summary:
Density of states at the Fermi level = 2.993 states/eV per atom
M_tot = 1.515 μB/f.u.


Number 1: energy of formation from the pure elements -62.8 kJ per mole of atoms. Number 2: energy of formation from the pure elements -79.7 kJ per mole of atoms. Number 3: energy of formation from the pure elements -79.9 kJ per mole of atoms. Number 4: energy of formation from the pure elements -81.9 kJ per mole of atoms. Number 5: energy of formation from the pure elements -68.4 kJ per mole of atoms. Number 6: energy of formation from the pure elements -40.2 kJ per mole of atoms. Number 7: energy of formation from the pure elements -56.3 kJ per mole of atoms. Number 8: energy of formation from the pure elements -44.1 kJ per mole of atoms. Number 9: energy of formation from the pure elements -54.1 kJ per mole of atoms. Number 10: energy of formation from the pure elements -85.6 kJ per mole of atoms. Number 11: energy of formation from the pure elements -32.4 kJ per mole of atoms. Number 12: energy of formation from the pure elements -56.1 kJ per mole of atoms.